No. 1
Entry from Alexandria: a relaxed LiAcInNi crystal (PBE).

a = 4.985 Å, b = 4.985 Å, c = 4.985 Å
α = 60.00°, β = 60.00°, γ = 60.00°
Fractional coordinates of all 4 atoms:
In 0.500 0.500 0.500
Ni 0.250 0.250 0.250
Li 0.750 0.750 0.750
Ac 0.000 0.000 0.000

Summary:
* crystal system: cubic
* formation enthalpy at 0 K: -193 meV per atom
* VASP energy: -0.28138 Ry per atom

---

No. 2
Entry from Alexandria: a relaxed Ti4Ni3 crystal (PBE).

a = 4.145 Å, b = 5.132 Å, c = 5.715 Å
α = 111.55°, β = 111.26°, γ = 90.00°
Fractional coordinates of all 7 atoms:
Ti 0.839 0.246 0.677
Ni 0.236 0.319 0.473
Ti 0.161 0.754 0.323
Ti 0.454 0.709 0.908
Ti 0.546 0.291 0.092
Ni 0.764 0.681 0.527
Ni 0.000 0.000 0.000

Summary:
* crystal system: monoclinic
* formation enthalpy at 0 K: -173 meV per atom
* energy above the most stable polymorph in this dataset: 0.108 eV per atom
* VASP energy: -0.52639 Ry per atom

---

No. 3
Entry from Alexandria: a relaxed PaZnIn2 crystal (PBE).

a = 5.114 Å, b = 5.114 Å, c = 5.115 Å
α = 60.01°, β = 60.01°, γ = 60.00°
Last column: magnetic moment on the atom in μB.
Fractional coordinates of all 4 atoms:
In 0.750 0.750 0.750  0.01
Pa 0.500 0.500 0.500  0.60
In 0.250 0.250 0.250  0.01
Zn 0.000 0.000 0.000  -0.01

Summary:
* crystal system: cubic
* formation enthalpy at 0 K: 191 meV per atom
* energy above the most stable polymorph in this dataset: 0.244 eV per atom
* VASP energy: -0.28448 Ry per atom

---

No. 4
Entry from Alexandria: a relaxed ZnHgW2 crystal (PBE).

a = 5.210 Å, b = 5.210 Å, c = 5.210 Å
α = 142.21°, β = 127.26°, γ = 66.69°
Fractional coordinates of all 4 atoms:
Hg 0.256 0.756 0.500
Zn 0.503 0.503 0.000
W 0.982 0.982 0.000
W 0.760 0.260 0.500

Summary:
* crystal system: orthorhombic
* formation enthalpy at 0 K: 601 meV per atom
* energy above the most stable polymorph in this dataset: 0.223 eV per atom
* VASP energy: -0.46081 Ry per atom

---

No. 5
Entry from Alexandria: a relaxed CdCoAu2 crystal (PBE).

a = 5.545 Å, b = 5.545 Å, c = 5.545 Å
α = 148.60°, β = 129.10°, γ = 61.04°
Last column: magnetic moment on the atom in μB.
Fractional coordinates of all 4 atoms:
Cd 0.486 0.486 0.000  -0.02
Au 0.017 0.017 0.000  0.01
Au 0.753 0.253 0.500  0.00
Co 0.244 0.744 0.500  1.72

Summary:
* crystal system: orthorhombic
* formation enthalpy at 0 K: 160 meV per atom
* VASP energy: -0.25610 Ry per atom

---

No. 6
Entry from Alexandria: a relaxed KIn2P crystal (PBE).

a = 9.009 Å, b = 9.009 Å, c = 9.009 Å
α = 26.21°, β = 26.21°, γ = 26.21°
Fractional coordinates of all 4 atoms:
P 0.750 0.750 0.750
In 0.026 0.026 0.026
K 0.250 0.250 0.250
In 0.474 0.474 0.474

Summary:
* crystal system: trigonal
* formation enthalpy at 0 K: -124 meV per atom
* VASP energy: -0.22929 Ry per atom

---

No. 7
Entry from Alexandria: a relaxed Ba2GaCu2 crystal (PBE).

a = 3.713 Å, b = 3.713 Å, c = 10.404 Å
α = 79.72°, β = 79.72°, γ = 90.00°
Fractional coordinates of all 5 atoms:
Ba 0.387 0.387 0.226
Cu 0.750 0.250 0.500
Ga 0.000 0.000 0.000
Cu 0.250 0.750 0.500
Ba 0.613 0.613 0.774

Summary:
* crystal system: tetragonal
* formation enthalpy at 0 K: 26 meV per atom
* VASP energy: -0.21956 Ry per atom

---

No. 8
Entry from Alexandria: a relaxed AlIn2Cu2Pd5 crystal (PBE).

a = 3.761 Å, b = 9.312 Å, c = 9.312 Å
α = 90.00°, β = 90.00°, γ = 90.00°
Fractional coordinates of all 20 atoms:
Pd 0.500 0.902 0.183
Pd 0.500 0.098 0.817
Pd 0.500 0.317 0.598
In 0.000 0.835 0.665
Cu 0.000 0.130 0.630
Pd 0.500 0.598 0.683
Pd 0.500 0.683 0.402
In 0.000 0.665 0.165
In 0.000 0.335 0.835
Pd 0.500 0.183 0.098
Cu 0.000 0.870 0.370
In 0.000 0.165 0.335
Pd 0.500 0.817 0.902
Cu 0.000 0.630 0.870
Pd 0.500 0.402 0.317
Pd 0.500 0.000 0.500
Cu 0.000 0.370 0.130
Al 0.000 0.500 0.500
Al 0.000 0.000 0.000
Pd 0.500 0.500 0.000

Summary:
* crystal system: tetragonal
* formation enthalpy at 0 K: -357 meV per atom
* VASP energy: -0.34501 Ry per atom

---

No. 9
Entry from Alexandria: a relaxed Sm6Co2PCl3 crystal (PBE).

a = 6.946 Å, b = 6.946 Å, c = 7.632 Å
α = 98.67°, β = 98.67°, γ = 119.97°
Fractional coordinates of all 12 atoms:
Co 0.667 0.333 0.000
Co 0.333 0.667 0.000
Sm 0.068 0.417 0.203
Sm 0.932 0.583 0.797
Cl 0.162 0.838 0.500
Sm 0.719 0.719 0.203
Cl 0.500 0.500 0.500
Sm 0.281 0.281 0.797
Cl 0.838 0.162 0.500
Sm 0.583 0.932 0.797
Sm 0.417 0.068 0.203
P 0.000 0.000 0.000

Summary:
* uncorrected formation energy: -12.76 eV per formula unit
* crystal system: monoclinic
* VASP energy: -0.40568 Ry per atom

---

No. 10
Entry from Alexandria: a relaxed Ni2GeSb2 crystal (PBE).

a = 6.918 Å, b = 6.918 Å, c = 3.713 Å
α = 90.00°, β = 90.00°, γ = 90.00°
Fractional coordinates of all 10 atoms:
Ni 0.869 0.631 0.000
Ni 0.631 0.131 0.000
Ge 0.000 0.000 0.000
Sb 0.833 0.333 0.500
Sb 0.167 0.667 0.500
Ni 0.131 0.369 0.000
Sb 0.333 0.167 0.500
Ge 0.500 0.500 0.000
Ni 0.369 0.869 0.000
Sb 0.667 0.833 0.500

Summary:
* uncorrected formation energy: 0.43 eV per formula unit
* crystal system: tetragonal
* VASP energy: -0.35267 Ry per atom

---

No. 11
Entry from Alexandria: a relaxed AlAs3C crystal (PBE).

a = 4.375 Å, b = 4.375 Å, c = 4.375 Å
α = 90.00°, β = 90.00°, γ = 90.00°
Fractional coordinates of all 5 atoms:
As 0.500 0.000 0.000
C 0.000 0.000 0.000
As 0.000 0.500 0.000
As 0.000 0.000 0.500
Al 0.500 0.500 0.500

Summary:
* crystal system: cubic
* formation enthalpy at 0 K: 995 meV per atom
* VASP energy: -0.32253 Ry per atom

---

No. 12
Entry from Alexandria: a relaxed Ho2Mg2Cd crystal (PBE).

a = 5.209 Å, b = 6.188 Å, c = 9.524 Å
α = 98.29°, β = 74.13°, γ = 65.11°
Fractional coordinates of all 10 atoms:
Mg 0.069 0.289 0.574
Cd 0.458 0.798 0.286
Mg 0.668 0.807 0.857
Mg 0.332 0.193 0.143
Ho 0.104 0.734 0.057
Cd 0.542 0.202 0.714
Mg 0.931 0.711 0.426
Ho 0.896 0.266 0.943
Ho 0.306 0.733 0.654
Ho 0.694 0.267 0.346

Summary:
* crystal system: monoclinic
* formation enthalpy at 0 K: -107 meV per atom
* energy above the most stable polymorph in this dataset: 0.000 eV per atom
* VASP energy: -0.20275 Ry per atom

---

No. 13
Entry from Alexandria: a relaxed GaBSe2Br crystal (PBE).

a = 4.300 Å, b = 4.300 Å, c = 7.220 Å
α = 90.00°, β = 90.00°, γ = 90.00°
Fractional coordinates of all 5 atoms:
Se 0.000 0.500 0.000
B 0.000 0.000 0.000
Se 0.500 0.000 0.000
Br 0.000 0.000 0.500
Ga 0.500 0.500 0.500

Summary:
* uncorrected formation energy: 2.08 eV per formula unit
* crystal system: tetragonal
* energy above the most stable polymorph in this dataset: 0.000 eV per atom
* VASP energy: -0.23904 Ry per atom

---

No. 14
Entry from Alexandria: a relaxed Rh5C crystal (PBE).

a = 5.063 Å, b = 5.063 Å, c = 5.063 Å
α = 60.00°, β = 60.00°, γ = 60.00°
Last column: magnetic moment on the atom in μB.
Fractional coordinates of all 6 atoms:
Rh 0.375 0.875 0.375  0.55
Rh 0.375 0.375 0.875  0.55
C 0.000 0.000 0.000  -0.02
Rh 0.875 0.375 0.375  0.55
Rh 0.750 0.750 0.750  1.14
Rh 0.375 0.375 0.375  0.55

Summary:
* crystal system: cubic
* formation enthalpy at 0 K: 1508 meV per atom
* energy above the most stable polymorph in this dataset: 1.266 eV per atom
* VASP energy: -0.45245 Ry per atom

---

No. 15
Entry from Alexandria: a relaxed SbW2Cl crystal (PBE).

a = 3.776 Å, b = 3.330 Å, c = 6.658 Å
α = 90.02°, β = 90.00°, γ = 90.00°
Fractional coordinates of all 4 atoms:
W 0.000 0.250 0.933
Cl 0.500 0.250 0.250
Sb 0.500 0.750 0.750
W 0.000 0.250 0.567

Summary:
* uncorrected formation energy: 3.04 eV per formula unit
* crystal system: orthorhombic
* energy above the most stable polymorph in this dataset: 0.715 eV per atom
* VASP energy: -0.52978 Ry per atom

---

No. 16
Entry from Alexandria: a relaxed GePb2S5 crystal (PBE).

a = 5.714 Å, b = 7.806 Å, c = 7.320 Å
α = 116.95°, β = 109.12°, γ = 101.58°
Fractional coordinates of all 8 atoms:
S 0.752 0.269 0.057
Pb 0.690 0.278 0.405
Ge 0.029 0.916 0.930
S 0.766 0.720 0.549
Pb 0.125 0.682 0.347
S 0.824 0.841 0.115
S 0.347 0.814 0.077
S 0.245 0.257 0.074

Summary:
* uncorrected formation energy: -1.41 eV per formula unit
* crystal system: triclinic
* VASP energy: -0.31310 Ry per atom

---

No. 17
Entry from Alexandria: a relaxed YHfVB2 crystal (PBE).

a = 4.306 Å, b = 4.522 Å, c = 4.306 Å
α = 90.00°, β = 90.00°, γ = 90.00°
Fractional coordinates of all 5 atoms:
Hf 0.000 0.500 0.000
Y 0.500 0.500 0.500
B 0.000 0.000 0.500
B 0.500 0.000 0.000
V 0.000 0.000 0.000

Summary:
* crystal system: tetragonal
* formation enthalpy at 0 K: 732 meV per atom
* VASP energy: -0.51792 Ry per atom

---

No. 18
Entry from Alexandria: a relaxed TmGaPt4 crystal (PBE).

a = 5.348 Å, b = 5.348 Å, c = 5.348 Å
α = 60.00°, β = 60.00°, γ = 60.00°
Fractional coordinates of all 6 atoms:
Pt 0.625 0.625 0.625
Ga 0.000 0.000 0.000
Pt 0.124 0.625 0.625
Pt 0.625 0.124 0.625
Tm 0.250 0.250 0.250
Pt 0.625 0.625 0.124

Summary:
* crystal system: cubic
* formation enthalpy at 0 K: -755 meV per atom
* energy above the most stable polymorph in this dataset: 0.000 eV per atom
* VASP energy: -0.44335 Ry per atom

---

No. 19
Entry from Alexandria: a relaxed HoSeF crystal (PBE).

a = 4.000 Å, b = 5.286 Å, c = 6.844 Å
α = 105.69°, β = 90.00°, γ = 112.23°
Fractional coordinates of all 6 atoms:
F 0.170 0.341 0.403
Se 0.601 0.203 0.817
Se 0.399 0.797 0.183
F 0.830 0.659 0.597
Ho 0.704 0.407 0.250
Ho 0.296 0.593 0.750

Summary:
* uncorrected formation energy: -8.47 eV per formula unit
* crystal system: monoclinic
* VASP energy: -0.45094 Ry per atom

---

No. 20
Entry from Alexandria: a relaxed LiCuGe2S crystal (PBE).

a = 4.636 Å, b = 4.636 Å, c = 4.196 Å
α = 90.00°, β = 90.00°, γ = 90.00°
Fractional coordinates of all 5 atoms:
Ge 0.500 0.000 0.000
Ge 0.000 0.500 0.000
Cu 0.000 0.000 0.500
S 0.500 0.500 0.500
Li 0.000 0.000 0.000

Summary:
* uncorrected formation energy: 3.08 eV per formula unit
* crystal system: tetragonal
* VASP energy: -0.23954 Ry per atom